1.
First-principles (PBE-GGA) data for crystalline ThSnHg2 at its relaxed geometry, as listed in Alexandria.

Output
Total magnetization (μB/atom): 0.0000
Formation enthalpy at 0 K (meV/atom): -343.5
Volume (Å³/cell): 104.8
Calculated density (g/cm³): 11.92

abc: 4.9165 4.6167 4.6167
angles: 90.00 90.00 90.00
Closest atoms and distances in Å follow each position.
Sites, in units of the cell vectors:
Hg: 0.0000 0.5000 0.0000  4 Hg 3.26, 4 Th 3.37, 4 Sn 3.37
Hg: 0.0000 0.0000 0.5000  4 Hg 3.26, 4 Th 3.37, 4 Sn 3.37
Th: 0.5000 0.5000 0.5000  4 Sn 3.26, 8 Hg 3.37
Sn: 0.5000 0.0000 0.0000  4 Th 3.26, 8 Hg 3.37

2.
First-principles (PBE-GGA) data for crystalline MnCrOs2 at its relaxed geometry, as listed in Alexandria.

Output
Total magnetization (μB/atom): 0.1597
Formation enthalpy at 0 K (meV/atom): 197.7
Volume (Å³/cell): 53.8
Calculated density (g/cm³): 15.05

abc: 2.6795 4.4982 4.6723
angles: 90.09 90.00 107.33
Closest atoms and distances in Å follow each position.
Sites, in units of the cell vectors:
Cr: 0.0000 0.0000 0.5000  2 Mn 2.34
Os: 0.7258 0.4516 0.7510  3 Mn 2.62-2.63, 3 Cr 2.63, 6 Os 2.68-2.73
Os: 0.2742 0.5484 0.2490  3 Mn 2.62-2.63, 3 Cr 2.63, 6 Os 2.68-2.73
Mn: 0.0000 0.0000 0.0000  2 Cr 2.34

3.
First-principles (PBE-GGA) data for crystalline SbPCl6O2 at its relaxed geometry, as listed in Alexandria.

Output
Total magnetization (μB/atom): 0.0000
Energy relative to the elements, uncorrected (meV/atom): -1054
Volume (Å³/cell): 1202.2
Calculated density (g/cm³): 2.20

abc: 8.9159 11.6017 12.2488
angles: 90.00 90.00 108.41
Closest atoms and distances in Å follow each position.
Sites, in units of the cell vectors:
Cl: 0.6899 0.1528 0.9511  1 P 1.99
Cl: 0.6906 0.3007 0.2956  1 Sb 2.35
Cl: 0.6899 0.6528 0.5489  1 P 1.99
Cl: 0.0437 0.2108 0.1243  1 Sb 2.37
Cl: 0.7161 0.4692 0.7327  1 P 1.99
Cl: 0.3094 0.6993 0.7044  1 Sb 2.35
Cl: 0.2839 0.0308 0.2327  1 P 1.99
Cl: 0.7161 0.9692 0.7673  1 P 1.99
Cl: 0.1308 0.3973 0.9015  1 Sb 2.36
Cl: 0.9563 0.7892 0.8757  1 Sb 2.37
Cl: 0.6906 0.8007 0.2044  1 Sb 2.35
Cl: 0.1308 0.8973 0.5985  1 Sb 2.36
Cl: 0.0437 0.7108 0.3757  1 Sb 2.37
Cl: 0.3101 0.3472 0.4511  1 P 1.99
Cl: 0.5665 0.1745 0.5467  1 Sb 2.36
Cl: 0.3101 0.8472 0.0489  1 P 1.99
Cl: 0.8692 0.6027 0.0985  1 Sb 2.36
Cl: 0.4335 0.8255 0.4533  1 Sb 2.36
Cl: 0.4335 0.3255 0.0467  1 Sb 2.36
Cl: 0.5665 0.6745 0.9533  1 Sb 2.36
Cl: 0.8692 0.1027 0.4015  1 Sb 2.36
Cl: 0.9563 0.2892 0.6243  1 Sb 2.37
Cl: 0.3094 0.1993 0.7956  1 Sb 2.35
Cl: 0.2839 0.5308 0.2673  1 P 1.99
O: 0.2224 0.0550 0.0019  1 P 1.52
O: 0.7776 0.9450 0.9981  1 P 1.52
O: 0.9820 0.6116 0.6151  1 P 1.52
O: 0.0180 0.3884 0.3849  1 P 1.52
O: 0.9820 0.1116 0.8849  1 P 1.52
O: 0.0180 0.8884 0.1151  1 P 1.52
O: 0.2224 0.5550 0.4981  1 P 1.52
O: 0.7776 0.4450 0.5019  1 P 1.52
P: 0.1905 0.9589 0.0914  2 O 1.52
P: 0.1905 0.4589 0.4086  2 O 1.52
P: 0.8095 0.0411 0.9086  2 O 1.52
P: 0.8095 0.5411 0.5914  2 O 1.52
Sb: 0.8092 0.7762 0.0385  2 O 2.12, 4 Cl 2.35-2.37
Sb: 0.1908 0.7238 0.5385  2 O 2.12, 4 Cl 2.35-2.37
Sb: 0.8092 0.2762 0.4615  2 O 2.12, 4 Cl 2.35-2.37
Sb: 0.1908 0.2238 0.9615  2 O 2.12, 4 Cl 2.35-2.37

4.
First-principles (PBE-GGA) data for crystalline Np4HgO12 at its relaxed geometry, as listed in Alexandria.

Output
Total magnetization (μB/atom): 0.3529
Energy relative to the elements, uncorrected (meV/atom): -2501
Volume (Å³/cell): 282.0
Calculated density (g/cm³): 7.89

abc: 7.1554 7.1555 7.1555
angles: 109.97 109.95 108.51
Closest atoms and distances in Å follow each position.
Sites, in units of the cell vectors:
O: 0.7986 0.2989 0.0975  2 Np 2.17, 1 Hg 2.34
O: 0.5366 0.7878 0.7488  2 Np 2.08
O: 0.4634 0.2122 0.2512  2 Np 2.08
O: 0.7986 0.7011 0.4997  2 Np 2.17, 1 Hg 2.34
O: 0.2014 0.7011 0.9025  2 Np 2.17, 1 Hg 2.34
O: 0.2014 0.2989 0.5003  2 Np 2.17, 1 Hg 2.34
O: 0.0390 0.7878 0.2512  2 Np 2.08
O: 0.7132 0.4672 0.7540  2 Np 2.08
O: 0.7132 0.9593 0.2461  2 Np 2.08
O: 0.2868 0.0407 0.7539  2 Np 2.08
O: 0.2868 0.5328 0.2460  2 Np 2.08
O: 0.9610 0.2122 0.7488  2 Np 2.08
Np: 0.5000 0.5000 0.5000  6 O 2.08-2.17
Np: 0.0000 0.0000 0.5000  6 O 2.08-2.17
Np: 0.5000 0.0000 0.0000  6 O 2.08-2.17
Np: 0.0000 0.5000 0.0000  6 O 2.08-2.17
Hg: 0.0000 0.5000 0.5000  4 O 2.34

5.
First-principles (PBE-GGA) data for crystalline KTlRh3 at its relaxed geometry, as listed in Alexandria.

Output
Total magnetization (μB/atom): 0.4981
Formation enthalpy at 0 K (meV/atom): 1932.4
Energy relative to the lowest polymorph listed for this composition (meV per atom): 732.0
Volume (Å³/cell): 112.5
Calculated density (g/cm³): 8.15

abc: 4.8276 4.8276 4.8276
angles: 90.00 90.00 90.00
Closest atoms and distances in Å follow each position.
Sites, in units of the cell vectors:
Rh: 0.0000 0.0000 0.5000  2 K 2.41
Rh: 0.5000 0.0000 0.0000  2 K 2.41
Rh: 0.0000 0.5000 0.0000  2 K 2.41
K: 0.0000 0.0000 0.0000  6 Rh 2.41
Tl: 0.5000 0.5000 0.5000  12 Rh 3.41

6.
First-principles (PBE-GGA) data for crystalline Mg2CdMo at its relaxed geometry, as listed in Alexandria.

Output
Total magnetization (μB/atom): 0.0000
Formation enthalpy at 0 K (meV/atom): 285.8
Volume (Å³/cell): 75.2
Calculated density (g/cm³): 5.67

abc: 2.9332 4.2019 6.1049
angles: 90.00 90.00 90.00
Closest atoms and distances in Å follow each position.
Sites, in units of the cell vectors:
Mg: 0.0000 0.0000 0.4830  3 Mg 2.84-2.93, 4 Mo 2.93, 4 Cd 3.04
Mg: 0.0000 0.0000 0.0170  3 Mg 2.84-2.93, 4 Mo 2.93, 4 Cd 3.04
Cd: 0.5000 0.5000 0.7500  2 Cd 2.93, 8 Mg 3.04, 2 Mo 3.05
Mo: 0.5000 0.5000 0.2500  8 Mg 2.93, 2 Mo 2.93, 2 Cd 3.05

7.
First-principles (PBE-GGA) data for crystalline ThVNi2 at its relaxed geometry, as listed in Alexandria.

Output
Total magnetization (μB/atom): 0.0000
Formation enthalpy at 0 K (meV/atom): -234.9
Volume (Å³/cell): 71.3
Calculated density (g/cm³): 9.33

abc: 4.1078 4.1078 5.4233
angles: 67.75 67.75 60.00
Closest atoms and distances in Å follow each position.
Sites, in units of the cell vectors:
Ni: 0.7005 0.7005 0.8984  3 V 2.42, 3 Ni 2.57
Ni: 0.2995 0.2995 0.1016  3 V 2.42, 3 Ni 2.57
V: 0.0000 0.0000 0.0000  6 Ni 2.42
Th: 0.5000 0.5000 0.5000  8 Ni 2.93-3.07

8.
First-principles (PBE-GGA) data for crystalline ZnAs2Br at its relaxed geometry, as listed in Alexandria.

Output
Total magnetization (μB/atom): 0.0000
Energy relative to the elements, uncorrected (meV/atom): 3
Energy relative to the lowest polymorph listed for this composition (meV per atom): 174.1
Volume (Å³/cell): 91.1
Calculated density (g/cm³): 5.38

abc: 3.7723 5.1867 5.1838
angles: 63.92 90.00 90.00
Closest atoms and distances in Å follow each position.
Sites, in units of the cell vectors:
Br: 0.0000 0.5166 0.5166  2 As 2.74-2.75, 2 Zn 2.87
As: 0.5000 0.2068 0.2070  2 As 2.54, 2 Zn 2.79
As: 0.0000 0.0140 0.0142  2 As 2.54, 2 Br 2.74-2.75
Zn: 0.5000 0.7625 0.7622  4 As 2.79-2.91, 2 Br 2.87